1.
# Pu2PaTe3 PBE-GGA relaxed
# Formation energy from raw total energies, meV/atom: -906.2
# Magnetization, μB/atom: 2.22
data_Pu2PaTe3
_chemical_formula_sum 'Pu4 Pa2 Te6'
_space_group_name_H-M_alt 'I m m m'
_space_group_IT_number 71
_space_group_name_Hall '-I 2 2'
_cell_length_a 4.3329
_cell_length_b 6.2238
_cell_length_c 13.4148
_cell_angle_alpha 90.00
_cell_angle_beta 90.00
_cell_angle_gamma 90.00
loop_
_atom_site_label
_atom_site_fract_x
_atom_site_fract_y
_atom_site_fract_z
_atom_site_occupancy
Pu1 0.0000 0.0000 0.1667 1
Pa1 0.0000 0.0000 0.5000 1
Te1 0.0000 0.5000 0.1669 1
Te2 0.0000 0.5000 0.5000 1

=====

2.
# Ni2SnRuN PBE-GGA relaxed
# Formation energy from raw total energies, meV/atom: 102.4
# Magnetization, μB/atom: 0.07
data_Ni2SnRuN
_chemical_formula_sum 'Ni2 Sn1 Ru1 N1'
_space_group_name_H-M_alt 'P 4/m m m'
_space_group_IT_number 123
_space_group_name_Hall '-P 4 2'
_cell_length_a 3.8982
_cell_length_b 3.8982
_cell_length_c 4.1457
_cell_angle_alpha 90.00
_cell_angle_beta 90.00
_cell_angle_gamma 90.00
loop_
_atom_site_label
_atom_site_fract_x
_atom_site_fract_y
_atom_site_fract_z
_atom_site_occupancy
Ni1 0.0000 0.5000 0.0000 1
Sn1 0.0000 0.0000 0.5000 1
Ru1 0.5000 0.5000 0.5000 1
N1 0.5000 0.5000 0.0000 1

=====

3.
# YGeBr3 PBE-GGA relaxed
# Energy above the lowest structure with this stoichiometry, meV per atom: 0
# Formation energy from raw total energies, meV/atom: -719.7
# Magnetization, μB/atom: 0.40
data_YGeBr3
_chemical_formula_sum 'Y1 Ge1 Br3'
_space_group_name_H-M_alt 'P m -3 m'
_space_group_IT_number 221
_space_group_name_Hall '-P 4 2 3'
_cell_length_a 5.6036
_cell_length_b 5.6036
_cell_length_c 5.6036
_cell_angle_alpha 90.00
_cell_angle_beta 90.00
_cell_angle_gamma 90.00
loop_
_atom_site_label
_atom_site_fract_x
_atom_site_fract_y
_atom_site_fract_z
_atom_site_occupancy
Y1 0.0000 0.0000 0.0000 1
Ge1 0.5000 0.5000 0.5000 1
Br1 0.0000 0.0000 0.5000 1

=====

Q: Which value of magnetization does entry 1 give?
A: 2.22 μB/atom

=====

Copy entry 3 word for word.
# YGeBr3 PBE-GGA relaxed
# Energy above the lowest structure with this stoichiometry, meV per atom: 0
# Formation energy from raw total energies, meV/atom: -719.7
# Magnetization, μB/atom: 0.40
data_YGeBr3
_chemical_formula_sum 'Y1 Ge1 Br3'
_space_group_name_H-M_alt 'P m -3 m'
_space_group_IT_number 221
_space_group_name_Hall '-P 4 2 3'
_cell_length_a 5.6036
_cell_length_b 5.6036
_cell_length_c 5.6036
_cell_angle_alpha 90.00
_cell_angle_beta 90.00
_cell_angle_gamma 90.00
loop_
_atom_site_label
_atom_site_fract_x
_atom_site_fract_y
_atom_site_fract_z
_atom_site_occupancy
Y1 0.0000 0.0000 0.0000 1
Ge1 0.5000 0.5000 0.5000 1
Br1 0.0000 0.0000 0.5000 1